First-principles (GGA-PBE) data for a relaxed structure of TaCo2SnH, as listed in the Alexandria database.

Computed properties:
calculated total energy = -6.648 eV per atom
density of states at the Fermi level = 4.19 states/eV per cell
magnetic moment = 0.5110 μB/atom

Cell: 4.019 4.019 3.855 Å, 90.00 90.00 90.00°
Element x y z (fractional)
1 Ta 0.000 0.000 0.000
2 Co 0.000 0.500 0.500
3 Co 0.500 0.000 0.500
4 Sn 0.500 0.500 0.000
5 H 0.000 0.000 0.500

=====

First-principles (GGA-PBE) data for a relaxed structure of LaAs2W, as listed in the Alexandria database.

Computed properties:
density of states at the Fermi level = 3.91 states/eV per cell
magnetic moment = 0.0000 μB/atom
DFT formation energy = 1.22 eV per formula unit

Cell: 9.525 9.525 9.525 Å, 19.71 19.71 19.71°
Element x y z (fractional)
1 La 0.000 0.000 0.000
2 As 0.243 0.243 0.243
3 As 0.489 0.489 0.489
4 W 0.762 0.762 0.762

=====

First-principles (GGA-PBE) data for a relaxed structure of NaLiTe3As, as listed in the Alexandria database.

Computed properties:
E_form (uncorrected) = -0.40 eV per atom
density of states at the Fermi level = 3.67 states/eV per cell
magnetic moment = 0.0000 μB/atom

Cell: 9.108 4.384 9.684 Å, 90.00 116.34 90.00°
Element x y z (fractional)
1 Na 0.241 0.250 0.249
2 Na 0.759 0.750 0.751
3 Li 0.122 0.250 0.583
4 Li 0.878 0.750 0.417
5 Te 0.102 0.250 0.863
6 Te 0.209 0.750 0.477
7 Te 0.472 0.750 0.163
8 Te 0.528 0.250 0.837
9 Te 0.791 0.250 0.523
10 Te 0.898 0.750 0.137
11 As 0.317 0.750 0.841
12 As 0.683 0.250 0.159